No. 1
# PBE Ac5ScSn4, optimized geometry
# DFT total energy: -46.13 eV per cell
# Calculated volume: 390.9 Å³ per cell
# Crystal system: monoclinic
# Formation energy from the elements: -324 meV/atom
data_Ac5ScSn4
_cell_length_a 4.2442
_cell_length_b 9.4168
_cell_length_c 10.4404
_cell_angle_alpha 106.54
_cell_angle_beta 101.73
_cell_angle_gamma 90.00
_space_group_name_H-M_alt 'P 1'
_space_group_IT_number 1
_space_group_name_Hall 'P 1'
loop_
_atom_site_label
_atom_site_type_symbol
_atom_site_fract_x
_atom_site_fract_y
_atom_site_fract_z
_atom_site_occupancy
Ac1 Ac 0.8346 0.6438 0.6691 1
Ac2 Ac 0.8273 0.1849 0.6546 1
Ac3 Ac 0.1727 0.8151 0.3454 1
Ac4 Ac 0.5000 0.5000 0.0000 1
Ac5 Ac 0.1654 0.3562 0.3309 1
Sc1 Sc 0.5000 0.0000 0.0000 1
Sn1 Sn 0.3446 0.9221 0.6893 1
Sn2 Sn 0.0038 0.7778 0.0077 1
Sn3 Sn 0.6554 0.0779 0.3107 1
Sn4 Sn 0.9962 0.2222 0.9923 1

***

No. 2
# PBE Ac3ScSn3, optimized geometry
# DFT total energy: -68.26 eV per cell
# Calculated volume: 534.4 Å³ per cell
# Crystal system: monoclinic
# Formation energy from the elements: -495 meV/atom
data_Ac3ScSn3
_cell_length_a 8.3211
_cell_length_b 8.3211
_cell_length_c 8.4119
_cell_angle_alpha 94.21
_cell_angle_beta 94.21
_cell_angle_gamma 112.23
_space_group_name_H-M_alt 'P 1'
_space_group_IT_number 1
_space_group_name_Hall 'P 1'
loop_
_atom_site_label
_atom_site_type_symbol
_atom_site_fract_x
_atom_site_fract_y
_atom_site_fract_z
_atom_site_occupancy
Ac1 Ac 0.6058 0.6058 0.3498 1
Ac2 Ac 0.1621 0.8379 0.5000 1
Ac3 Ac 0.8379 0.1621 0.5000 1
Ac4 Ac 0.2283 0.7717 0.0000 1
Ac5 Ac 0.7717 0.2283 0.0000 1
Ac6 Ac 0.3942 0.3942 0.6502 1
Sc1 Sc 0.8063 0.8063 0.8644 1
Sc2 Sc 0.1937 0.1937 0.1356 1
Sn1 Sn 0.9012 0.9012 0.1989 1
Sn2 Sn 0.8524 0.5173 0.7091 1
Sn3 Sn 0.5173 0.8524 0.7091 1
Sn4 Sn 0.1476 0.4827 0.2909 1
Sn5 Sn 0.4827 0.1476 0.2909 1
Sn6 Sn 0.0988 0.0988 0.8011 1

***

No. 3
# PBE AcScSn, optimized geometry
# DFT total energy: -30.67 eV per cell
# Calculated volume: 202.1 Å³ per cell
# Crystal system: tetragonal
# Formation energy from the elements: -297 meV/atom
# Excess energy over the best structure of this formula in the dataset: 309.8 meV per atom
data_AcScSn
_cell_length_a 5.1711
_cell_length_b 5.1711
_cell_length_c 7.5587
_cell_angle_alpha 90.00
_cell_angle_beta 90.03
_cell_angle_gamma 90.00
_space_group_name_H-M_alt 'P 1'
_space_group_IT_number 1
_space_group_name_Hall 'P 1'
loop_
_atom_site_label
_atom_site_type_symbol
_atom_site_fract_x
_atom_site_fract_y
_atom_site_fract_z
_atom_site_occupancy
Sn1 Sn 0.7502 0.7500 0.7999 1
Sn2 Sn 0.2498 0.2500 0.2001 1
Sc1 Sc 0.7497 0.2500 0.0000 1
Sc2 Sc 0.2503 0.7500 0.0000 1
Ac1 Ac 0.7500 0.2500 0.5000 1
Ac2 Ac 0.2500 0.7500 0.5000 1

***

No. 4
# PBE AcScSn, optimized geometry
# DFT total energy: -32.44 eV per cell
# Calculated volume: 189.4 Å³ per cell
# Crystal system: tetragonal
# Formation energy from the elements: -593 meV/atom
# Excess energy over the best structure of this formula in the dataset: 14.1 meV per atom
data_AcScSn
_cell_length_a 4.7047
_cell_length_b 4.7047
_cell_length_c 8.5577
_cell_angle_alpha 90.00
_cell_angle_beta 90.00
_cell_angle_gamma 90.00
_space_group_name_H-M_alt 'P 1'
_space_group_IT_number 1
_space_group_name_Hall 'P 1'
loop_
_atom_site_label
_atom_site_type_symbol
_atom_site_fract_x
_atom_site_fract_y
_atom_site_fract_z
_atom_site_occupancy
Ac1 Ac 0.0000 0.5000 0.8488 1
Ac2 Ac 0.5000 0.0000 0.1512 1
Sc1 Sc 0.5000 0.5000 0.5000 1
Sc2 Sc 0.0000 0.0000 0.5000 1
Sn1 Sn 0.0000 0.5000 0.2728 1
Sn2 Sn 0.5000 0.0000 0.7272 1

***

No. 5
# PBE Ac3ScSn5, optimized geometry
# DFT total energy: -88.38 eV per cell
# Calculated volume: 561.0 Å³ per cell
# Crystal system: hexagonal
# Formation energy from the elements: -613 meV/atom
data_Ac3ScSn5
_cell_length_a 6.6156
_cell_length_b 9.8957
_cell_length_c 9.8957
_cell_angle_alpha 120.00
_cell_angle_beta 90.00
_cell_angle_gamma 90.00
_space_group_name_H-M_alt 'P 1'
_space_group_IT_number 1
_space_group_name_Hall 'P 1'
loop_
_atom_site_label
_atom_site_type_symbol
_atom_site_fract_x
_atom_site_fract_y
_atom_site_fract_z
_atom_site_occupancy
Ac1 Ac 0.7500 0.3857 0.0000 1
Ac2 Ac 0.7500 0.6143 0.6143 1
Ac3 Ac 0.7500 0.0000 0.3857 1
Ac4 Ac 0.2500 0.6143 0.0000 1
Ac5 Ac 0.2500 0.3857 0.3857 1
Ac6 Ac 0.2500 0.0000 0.6143 1
Sc1 Sc 0.0000 0.0000 0.0000 1
Sc2 Sc 0.5000 0.0000 0.0000 1
Sn1 Sn 0.0000 0.3333 0.6667 1
Sn2 Sn 0.5000 0.6667 0.3333 1
Sn3 Sn 0.0000 0.6667 0.3333 1
Sn4 Sn 0.5000 0.3333 0.6667 1
Sn5 Sn 0.7500 0.7384 0.0000 1
Sn6 Sn 0.7500 0.2616 0.2616 1
Sn7 Sn 0.7500 0.0000 0.7384 1
Sn8 Sn 0.2500 0.2616 0.0000 1
Sn9 Sn 0.2500 0.7384 0.7384 1
Sn10 Sn 0.2500 0.0000 0.2616 1

***

No. 6
# PBE AcTbScSn, optimized geometry
# DFT total energy: -19.67 eV per cell
# Calculated volume: 113.7 Å³ per cell
# Crystal system: cubic
# Formation energy from the elements: -148 meV/atom
data_AcTbScSn
_cell_length_a 5.4374
_cell_length_b 5.4374
_cell_length_c 5.4374
_cell_angle_alpha 60.00
_cell_angle_beta 60.00
_cell_angle_gamma 60.00
_space_group_name_H-M_alt 'P 1'
_space_group_IT_number 1
_space_group_name_Hall 'P 1'
loop_
_atom_site_label
_atom_site_type_symbol
_atom_site_fract_x
_atom_site_fract_y
_atom_site_fract_z
_atom_site_occupancy
Sc1 Sc 0.5000 0.5000 0.5000 1
Ac1 Ac 0.7500 0.7500 0.7500 1
Tb1 Tb 0.0000 0.0000 0.0000 1
Sn1 Sn 0.2500 0.2500 0.2500 1

***

No. 7
# PBE AcThScSn, optimized geometry
# DFT total energy: -22.05 eV per cell
# Calculated volume: 118.5 Å³ per cell
# Crystal system: cubic
# Formation energy from the elements: -48 meV/atom
data_AcThScSn
_cell_length_a 5.5127
_cell_length_b 5.5127
_cell_length_c 5.5127
_cell_angle_alpha 60.00
_cell_angle_beta 60.00
_cell_angle_gamma 60.00
_space_group_name_H-M_alt 'P 1'
_space_group_IT_number 1
_space_group_name_Hall 'P 1'
loop_
_atom_site_label
_atom_site_type_symbol
_atom_site_fract_x
_atom_site_fract_y
_atom_site_fract_z
_atom_site_occupancy
Sc1 Sc 0.5000 0.5000 0.5000 1
Ac1 Ac 0.7500 0.7500 0.7500 1
Sn1 Sn 0.2500 0.2500 0.2500 1
Th1 Th 0.0000 0.0000 0.0000 1

***

No. 8
# PBE AcTmScSn2, optimized geometry
# DFT total energy: -25.94 eV per cell
# Calculated volume: 151.0 Å³ per cell
# Crystal system: tetragonal
# Formation energy from the elements: -605 meV/atom
data_AcTmScSn2
_cell_length_a 4.7487
_cell_length_b 4.7487
_cell_length_c 7.4907
_cell_angle_alpha 108.48
_cell_angle_beta 108.48
_cell_angle_gamma 90.00
_space_group_name_H-M_alt 'P 1'
_space_group_IT_number 1
_space_group_name_Hall 'P 1'
loop_
_atom_site_label
_atom_site_type_symbol
_atom_site_fract_x
_atom_site_fract_y
_atom_site_fract_z
_atom_site_occupancy
Ac1 Ac 0.0000 0.0000 0.0000 1
Tm1 Tm 0.7500 0.2500 0.5000 1
Sc1 Sc 0.2500 0.7500 0.5000 1
Sn1 Sn 0.6099 0.6099 0.2197 1
Sn2 Sn 0.3901 0.3901 0.7803 1

***

No. 9
# PBE AcTmScSn, optimized geometry
# DFT total energy: -19.41 eV per cell
# Calculated volume: 111.8 Å³ per cell
# Crystal system: cubic
# Formation energy from the elements: -125 meV/atom
data_AcTmScSn
_cell_length_a 5.4068
_cell_length_b 5.4068
_cell_length_c 5.4068
_cell_angle_alpha 60.00
_cell_angle_beta 60.00
_cell_angle_gamma 60.00
_space_group_name_H-M_alt 'P 1'
_space_group_IT_number 1
_space_group_name_Hall 'P 1'
loop_
_atom_site_label
_atom_site_type_symbol
_atom_site_fract_x
_atom_site_fract_y
_atom_site_fract_z
_atom_site_occupancy
Sc1 Sc 0.5000 0.5000 0.5000 1
Ac1 Ac 0.7500 0.7500 0.7500 1
Tm1 Tm 0.0000 0.0000 0.0000 1
Sn1 Sn 0.2500 0.2500 0.2500 1

***

No. 10
# PBE AcYScSn, optimized geometry
# DFT total energy: -21.51 eV per cell
# Calculated volume: 113.7 Å³ per cell
# Crystal system: cubic
# Formation energy from the elements: -151 meV/atom
data_AcYScSn
_cell_length_a 5.4383
_cell_length_b 5.4383
_cell_length_c 5.4383
_cell_angle_alpha 60.00
_cell_angle_beta 60.00
_cell_angle_gamma 60.00
_space_group_name_H-M_alt 'P 1'
_space_group_IT_number 1
_space_group_name_Hall 'P 1'
loop_
_atom_site_label
_atom_site_type_symbol
_atom_site_fract_x
_atom_site_fract_y
_atom_site_fract_z
_atom_site_occupancy
Y1 Y 0.7500 0.7500 0.7500 1
Sc1 Sc 0.2500 0.2500 0.2500 1
Ac1 Ac 0.0000 0.0000 0.0000 1
Sn1 Sn 0.5000 0.5000 0.5000 1

***

No. 11
# PBE Ac2ScZn3Sn4, optimized geometry
# DFT total energy: -38.95 eV per cell
# Calculated volume: 259.2 Å³ per cell
# Crystal system: tetragonal
# Formation energy from the elements: -457 meV/atom
data_Ac2ScZn3Sn4
_cell_length_a 4.6329
_cell_length_b 4.6329
_cell_length_c 12.0765
_cell_angle_alpha 90.00
_cell_angle_beta 90.00
_cell_angle_gamma 90.00
_space_group_name_H-M_alt 'P 1'
_space_group_IT_number 1
_space_group_name_Hall 'P 1'
loop_
_atom_site_label
_atom_site_type_symbol
_atom_site_fract_x
_atom_site_fract_y
_atom_site_fract_z
_atom_site_occupancy
Ac1 Ac 0.5000 0.0000 0.2389 1
Ac2 Ac 0.0000 0.5000 0.7611 1
Sc1 Sc 0.5000 0.5000 0.5000 1
Zn1 Zn 0.0000 0.0000 0.5000 1
Zn2 Zn 0.5000 0.0000 0.8666 1
Zn3 Zn 0.0000 0.5000 0.1335 1
Sn1 Sn 0.5000 0.5000 0.0000 1
Sn2 Sn 0.0000 0.0000 0.0000 1
Sn3 Sn 0.5000 0.0000 0.6434 1
Sn4 Sn 0.0000 0.5000 0.3566 1

***

No. 12
# PBE AcTb4Sc, optimized geometry
# DFT total energy: -25.16 eV per cell
# Calculated volume: 237.1 Å³ per cell
# Crystal system: tetragonal
# Formation energy from the elements: 633 meV/atom
data_AcTb4Sc
_cell_length_a 4.9972
_cell_length_b 4.9973
_cell_length_c 9.4961
_cell_angle_alpha 90.00
_cell_angle_beta 90.00
_cell_angle_gamma 90.00
_space_group_name_H-M_alt 'P 1'
_space_group_IT_number 1
_space_group_name_Hall 'P 1'
loop_
_atom_site_label
_atom_site_type_symbol
_atom_site_fract_x
_atom_site_fract_y
_atom_site_fract_z
_atom_site_occupancy
Ac1 Ac 0.9973 0.0013 0.5019 1
Tb1 Tb 0.9973 0.5013 0.8072 1
Tb2 Tb 0.9973 0.5013 0.1965 1
Tb3 Tb 0.4973 0.0013 0.1965 1
Tb4 Tb 0.4973 0.0013 0.8072 1
Sc1 Sc 0.4973 0.5013 0.0019 1